(1)
A plane-wave DFT calculation with PBE-GGA was carried out for a geometry-optimized Ba2GaRhO6 structure.

Summary:
total magnetization	2.05	μB per formula unit
E	-372.39	eV per cell
density	6432	kg/m³

abc: 5.8092 5.8092 28.7959
angles: 90.00 90.00 120.00
Closest atoms and distances in Å follow each position.
Space group R-3m (No. 166, hexagonal axes)
Inequivalent atoms, fractional coordinates:
Ba: 0.0000 0.0000 0.1278 (multiplicity 6)  12 O 2.91-3.02
Ba: 0.0000 0.0000 0.2866 (multiplicity 6)  12 O 2.84-3.03
Ga: 0.0000 0.0000 0.4077 (multiplicity 6)  6 O 1.98-2.07
Rh: 0.0000 0.0000 0.0000 (multiplicity 3)  6 O 2.01
Rh: 0.0000 0.0000 0.5000 (multiplicity 3)  6 O 1.99
O: 0.0067 0.5033 0.7066 (multiplicity 18)  1 Ga 1.98, 1 Rh 2.01
O: 0.0277 0.5138 0.1226 (multiplicity 18)  1 Rh 1.99, 1 Ga 2.07

=====

(2)
A plane-wave DFT calculation with PBE-GGA was carried out for a geometry-optimized Sm2Ga4Cu3Rh structure.

Summary:
total magnetization	0.00	μB per formula unit
energy of formation	-521	meV/atom
density	8104	kg/m³

abc: 4.1499 4.1499 10.3883
angles: 90.00 90.00 90.00
Closest atoms and distances in Å follow each position.
Space group P-4m2 (No. 115)
Inequivalent atoms, fractional coordinates:
Sm: 0.0000 0.5000 0.2491 (multiplicity 2)  6 Cu 3.17-3.33, 8 Ga 3.18-3.32, 2 Rh 3.33
Ga: 0.0000 0.0000 0.0000 (multiplicity 1)  4 Cu 2.50
Ga: 0.0000 0.5000 0.6326 (multiplicity 2)  3 Cu 2.43-2.49, 2 Rh 2.49
Ga: 0.5000 0.5000 0.0000 (multiplicity 1)  4 Cu 2.50
Cu: 0.0000 0.5000 0.8663 (multiplicity 2)  5 Ga 2.43-2.50
Cu: 0.5000 0.5000 0.5000 (multiplicity 1)  4 Ga 2.49
Rh: 0.0000 0.0000 0.5000 (multiplicity 1)  4 Ga 2.49

=====

(3)
A plane-wave DFT calculation with PBE-GGA was carried out for a geometry-optimized Sc5AlAg4 structure.

Summary:
total magnetization	0.00	μB per formula unit
energy of formation	-314	meV/atom
density	5643	kg/m³

abc: 3.4076 3.4076 17.3138
angles: 90.00 90.00 90.00
Closest atoms and distances in Å follow each position.
Space group P4/mmm (No. 123)
Inequivalent atoms, fractional coordinates:
Sc: 0.0000 0.0000 0.0000 (multiplicity 1)  8 Ag 2.96
Sc: 0.0000 0.0000 0.2014 (multiplicity 2)  8 Ag 2.99
Sc: 0.0000 0.0000 0.4011 (multiplicity 2)  4 Ag 2.94, 4 Al 2.96
Al: 0.5000 0.5000 0.5000 (multiplicity 1)  8 Sc 2.96
Ag: 0.5000 0.5000 0.0994 (multiplicity 2)  8 Sc 2.96-2.99
Ag: 0.5000 0.5000 0.3037 (multiplicity 2)  8 Sc 2.94-2.99

=====

Which value of density does entry 3 give? 5643 kg/m³

=====

What is the formula in the second record? Sm2Ga4Cu3Rh

=====

Which value of density does entry 2 give? 8104 kg/m³